Model i:
The following is a DFT calculation (PBE) of a relaxed structure of TmScPO.

Properties
* size of the total moment: 0.0 μB/f.u.
* crystal system: tetragonal

a = 4.4162 Å, b = 4.4162 Å, c = 8.3869 Å
α = 90.00°, β = 90.00°, γ = 90.00°
Space group P4/nmm (No. 129, origin choice 2)
Asymmetric unit:
Tm: 0.2500 0.7500 0.0000 x2
Sc: 0.2500 0.2500 0.4853 x2
P: 0.2500 0.2500 0.1772 x2
O: 0.2500 0.7500 0.5000 x2


Model ii:
The following is a DFT calculation (PBE) of a relaxed structure of TmScPO.

Properties
* size of the total moment: 0.0 μB/f.u.
* crystal system: orthorhombic

a = 4.0706 Å, b = 6.8569 Å, c = 5.6711 Å
α = 90.00°, β = 90.00°, γ = 90.00°
Space group Pmc2_1 (No. 26)
Asymmetric unit:
Tm: 0.0000 0.2047 0.0000 x2
Sc: 0.5000 0.3852 0.5838 x2
P: 0.0000 0.1851 0.4907 x2
O: 0.5000 0.3334 0.9441 x2


Model iii:
The following is a DFT calculation (PBE) of a relaxed structure of TmScPO.

Properties
* size of the total moment: 0.0 μB/f.u.
* crystal system: tetragonal

a = 4.0871 Å, b = 4.0871 Å, c = 8.4078 Å
α = 90.00°, β = 90.00°, γ = 90.00°
Space group P4/nmm (No. 129, origin choice 2)
Asymmetric unit:
Tm: 0.2500 0.2500 0.1131 x2
Sc: 0.2500 0.7500 0.5000 x2
P: 0.2500 0.2500 0.6859 x2
O: 0.2500 0.7500 0.0000 x2


Short version: model iii, model ii, model i, most stable first.


Model i:
The following is a DFT calculation (PBE) of a relaxed structure of ZrScPO.

Properties
* size of the total moment: 0.2 μB/f.u.
* crystal system: tetragonal

a = 3.8321 Å, b = 3.8321 Å, c = 8.3378 Å
α = 90.00°, β = 90.00°, γ = 90.00°
Space group P4/nmm (No. 129, origin choice 2)
Asymmetric unit:
Zr: 0.2500 0.2500 0.1397 x2
Sc: 0.2500 0.7500 0.5000 x2
P: 0.2500 0.2500 0.7130 x2
O: 0.2500 0.7500 0.0000 x2


Model ii:
The following is a DFT calculation (PBE) of a relaxed structure of ZrScPO.

Properties
* size of the total moment: 0.0 μB/f.u.
* crystal system: orthorhombic

a = 4.9576 Å, b = 3.8495 Å, c = 7.3381 Å
α = 90.00°, β = 90.00°, γ = 90.00°
Space group Pmma (No. 51)
Asymmetric unit:
Zr: 0.2500 0.0000 0.1336 x2
Sc: 0.2500 0.5000 0.7253 x2
P: 0.2500 0.5000 0.3632 x2
O: 0.2500 0.0000 0.8366 x2


Model iii:
The following is a DFT calculation (PBE) of a relaxed structure of ZrScPO.

Properties
* size of the total moment: 0.0 μB/f.u.
* crystal system: orthorhombic

a = 3.9637 Å, b = 6.9382 Å, c = 5.2959 Å
α = 90.00°, β = 90.00°, γ = 90.00°
Space group Pmc2_1 (No. 26)
Asymmetric unit:
Zr: 0.0000 0.2058 0.0000 x2
Sc: 0.5000 0.3797 0.5570 x2
P: 0.0000 0.1609 0.4969 x2
O: 0.5000 0.3282 0.9558 x2


Short version: model ii, model iii, model i, most stable first.


Model i:
The following is a DFT calculation (PBE) of a relaxed structure of TaSiPO.

Properties
* size of the total moment: 0.0 μB/f.u.
* crystal system: tetragonal

a = 3.3745 Å, b = 3.3745 Å, c = 9.4888 Å
α = 90.00°, β = 90.00°, γ = 90.00°
Space group P4/nmm (No. 129, origin choice 2)
Asymmetric unit:
Ta: 0.2500 0.2500 0.1425 x2
Si: 0.2500 0.7500 0.5000 x2
P: 0.2500 0.2500 0.7361 x2
O: 0.2500 0.7500 0.0000 x2


Model ii:
The following is a DFT calculation (PBE) of a relaxed structure of TaSiPO.

Properties
* size of the total moment: 0.0 μB/f.u.
* crystal system: orthorhombic

a = 3.2523 Å, b = 5.0314 Å, c = 6.9754 Å
α = 90.00°, β = 90.00°, γ = 90.00°
Space group Pmc2_1 (No. 26)
Asymmetric unit:
Ta: 0.0000 0.2348 0.0000 x2
Si: 0.5000 0.1604 0.5789 x2
P: 0.0000 0.2608 0.3620 x2
O: 0.5000 0.2783 0.8023 x2


Short version: model ii, model i, most stable first.


Model i:
The following is a DFT calculation (PBE) of a relaxed structure of TaSiPO.

Properties
* size of the total moment: 0.0 μB/f.u.
* crystal system: tetragonal

a = 4.0593 Å, b = 4.0593 Å, c = 7.2591 Å
α = 90.00°, β = 90.00°, γ = 90.00°
Space group P4/nmm (No. 129, origin choice 2)
Asymmetric unit:
Ta: 0.2500 0.7500 0.0000 x2
Si: 0.2500 0.2500 0.4714 x2
P: 0.2500 0.2500 0.7973 x2
O: 0.2500 0.7500 0.5000 x2


Model ii:
The following is a DFT calculation (PBE) of a relaxed structure of TaSiPO.

Properties
* size of the total moment: 0.0 μB/f.u.
* crystal system: tetragonal

a = 3.9017 Å, b = 3.9017 Å, c = 8.7956 Å
α = 90.00°, β = 90.00°, γ = 90.00°
Space group P4/nmm (No. 129, origin choice 2)
Asymmetric unit:
Ta: 0.2500 0.7500 0.0000 x2
Si: 0.2500 0.2500 0.4342 x2
P: 0.2500 0.2500 0.1813 x2
O: 0.2500 0.7500 0.5000 x2


Short version: model ii, model i, most stable first.